<A>
# ErGaBi2 (PBE, optimized geometry)
# DOS at the Fermi energy (states/eV per cell): 2.71
# Magnetic moment (μB per formula unit): 0.00
data_ErGaBi2
_chemical_formula_sum 'Er1 Ga1 Bi2'
_symmetry_space_group_name_H-M 'P 4/m m m'
_symmetry_Int_Tables_number 123
_symmetry_space_group_name_Hall '-P 4 2'
_cell_length_a 4.163
_cell_length_b 4.163
_cell_length_c 6.345
_cell_angle_alpha 90.00
_cell_angle_beta 90.00
_cell_angle_gamma 90.00
loop_
_atom_site_label
_atom_site_fract_x
_atom_site_fract_y
_atom_site_fract_z
_atom_site_occupancy
Er1 0.000 0.000 0.000 1
Ga1 0.000 0.000 0.500 1
Bi1 0.500 0.500 0.249 1


<B>
# ErGaBi2 (PBE, optimized geometry)
# DOS at the Fermi energy (states/eV per cell): 10.45
# Magnetic moment (μB per formula unit): 0.00
data_ErGaBi2
_chemical_formula_sum 'Er3 Ga3 Bi6'
_symmetry_space_group_name_H-M 'R -3 m'
_symmetry_Int_Tables_number 166
_symmetry_space_group_name_Hall '-R 3 2"'
_cell_length_a 4.1537
_cell_length_b 4.1537
_cell_length_c 23.7644
_cell_angle_alpha 90.00
_cell_angle_beta 90.00
_cell_angle_gamma 120.00
loop_
_atom_site_label
_atom_site_fract_x
_atom_site_fract_y
_atom_site_fract_z
_atom_site_occupancy
Er1 0.0000 0.0000 0.0000 1
Ga1 0.0000 0.0000 0.5000 1
Bi1 0.0000 0.0000 0.2447 1


Short version: <B> is the least stable of them.


<A>
# GdEr2Bi (PBE, optimized geometry)
# DOS at the Fermi energy (states/eV per cell): 4.78
# Magnetic moment (μB per formula unit): 8.04
data_GdEr2Bi
_chemical_formula_sum 'Gd1 Er2 Bi1'
_symmetry_space_group_name_H-M 'P 4/m m m'
_symmetry_Int_Tables_number 123
_symmetry_space_group_name_Hall '-P 4 2'
_cell_length_a 4.906
_cell_length_b 4.906
_cell_length_c 4.793
_cell_angle_alpha 90.00
_cell_angle_beta 90.00
_cell_angle_gamma 90.00
loop_
_atom_site_label
_atom_site_fract_x
_atom_site_fract_y
_atom_site_fract_z
_atom_site_occupancy
Gd1 0.000 0.000 0.000 1
Er1 0.000 0.500 0.500 1
Bi1 0.500 0.500 0.000 1


<B>
# GdEr2Bi (PBE, optimized geometry)
# DOS at the Fermi energy (states/eV per cell): 4.89
# Magnetic moment (μB per formula unit): 8.46
data_GdEr2Bi
_chemical_formula_sum 'Gd1 Er2 Bi1'
_symmetry_space_group_name_H-M 'P 4/m m m'
_symmetry_Int_Tables_number 123
_symmetry_space_group_name_Hall '-P 4 2'
_cell_length_a 4.082
_cell_length_b 4.082
_cell_length_c 7.152
_cell_angle_alpha 90.00
_cell_angle_beta 90.00
_cell_angle_gamma 90.00
loop_
_atom_site_label
_atom_site_fract_x
_atom_site_fract_y
_atom_site_fract_z
_atom_site_occupancy
Gd1 0.000 0.000 0.000 1
Er1 0.500 0.500 0.267 1
Bi1 0.000 0.000 0.500 1


Short version: <B> is the least stable of them.


<A>
# Er2GeBi (PBE, optimized geometry)
# DOS at the Fermi energy (states/eV per cell): 4.61
# Magnetic moment (μB per formula unit): 0.00
data_Er2GeBi
_chemical_formula_sum 'Er6 Ge3 Bi3'
_symmetry_space_group_name_H-M 'R -3 m'
_symmetry_Int_Tables_number 166
_symmetry_space_group_name_Hall '-R 3 2"'
_cell_length_a 4.1444
_cell_length_b 4.1444
_cell_length_c 22.3151
_cell_angle_alpha 90.00
_cell_angle_beta 90.00
_cell_angle_gamma 120.00
loop_
_atom_site_label
_atom_site_fract_x
_atom_site_fract_y
_atom_site_fract_z
_atom_site_occupancy
Er1 0.0000 0.0000 0.2391 1
Ge1 0.0000 0.0000 0.5000 1
Bi1 0.0000 0.0000 0.0000 1


<B>
# Er2GeBi (PBE, optimized geometry)
# DOS at the Fermi energy (states/eV per cell): 4.82
# Magnetic moment (μB per formula unit): 0.00
data_Er2GeBi
_chemical_formula_sum 'Er6 Ge3 Bi3'
_symmetry_space_group_name_H-M 'R 3 m'
_symmetry_Int_Tables_number 160
_symmetry_space_group_name_Hall 'R 3 -2"'
_cell_length_a 4.1058
_cell_length_b 4.1058
_cell_length_c 23.2909
_cell_angle_alpha 90.00
_cell_angle_beta 90.00
_cell_angle_gamma 120.00
loop_
_atom_site_label
_atom_site_fract_x
_atom_site_fract_y
_atom_site_fract_z
_atom_site_occupancy
Er1 0.0000 0.0000 0.0000 1
Er2 0.0000 0.0000 0.1531 1
Ge1 0.0000 0.0000 0.4082 1
Bi1 0.0000 0.0000 0.5785 1


Short version: <B> is the least stable of them.


<A>
# Er2GeBi (PBE, optimized geometry)
# DOS at the Fermi energy (states/eV per cell): 20.07
# Magnetic moment (μB per formula unit): 0.00
data_Er2GeBi
_chemical_formula_sum 'Er16 Ge8 Bi8'
_symmetry_space_group_name_H-M 'C 1 2/c 1'
_symmetry_Int_Tables_number 15
_symmetry_space_group_name_Hall '-C 2yc'
_cell_length_a 8.766
_cell_length_b 16.713
_cell_length_c 7.227
_cell_angle_alpha 90.00
_cell_angle_beta 123.36
_cell_angle_gamma 90.00
loop_
_atom_site_label
_atom_site_fract_x
_atom_site_fract_y
_atom_site_fract_z
_atom_site_occupancy
Er1 0.210 0.063 0.229 1
Er2 0.239 0.188 0.730 1
Ge1 0.000 0.068 0.750 1
Ge2 0.000 0.194 0.250 1
Bi1 0.000 0.320 0.750 1
Bi2 0.000 0.445 0.250 1


<B>
# Er2GeBi (PBE, optimized geometry)
# DOS at the Fermi energy (states/eV per cell): 5.86
# Magnetic moment (μB per formula unit): 0.00
data_Er2GeBi
_chemical_formula_sum 'Er8 Ge4 Bi4'
_symmetry_space_group_name_H-M 'C m c m'
_symmetry_Int_Tables_number 63
_symmetry_space_group_name_Hall '-C 2c 2'
_cell_length_a 4.372
_cell_length_b 23.246
_cell_length_c 4.177
_cell_angle_alpha 90.00
_cell_angle_beta 90.00
_cell_angle_gamma 90.00
loop_
_atom_site_label
_atom_site_fract_x
_atom_site_fract_y
_atom_site_fract_z
_atom_site_occupancy
Er1 0.000 0.060 0.250 1
Er2 0.000 0.329 0.250 1
Ge1 0.000 0.458 0.250 1
Bi1 0.000 0.192 0.250 1


Short version: <A> is the least stable of them.


<A>
# ErGeBiO5 (PBE, optimized geometry)
# DOS at the Fermi energy (states/eV per cell): 0.00
# Magnetic moment (μB per formula unit): 0.00
data_ErGeBiO5
_chemical_formula_sum 'Er8 Ge8 Bi8 O40'
_symmetry_space_group_name_H-M 'P b c a'
_symmetry_Int_Tables_number 61
_symmetry_space_group_name_Hall '-P 2ac 2ab'
_cell_length_a 5.376
_cell_length_b 15.411
_cell_length_c 11.080
_cell_angle_alpha 90.00
_cell_angle_beta 90.00
_cell_angle_gamma 90.00
loop_
_atom_site_label
_atom_site_fract_x
_atom_site_fract_y
_atom_site_fract_z
_atom_site_occupancy
Er1 0.010 0.053 0.141 1
Ge1 0.006 0.096 0.597 1
Bi1 0.044 0.736 0.147 1
O1 0.065 0.199 0.669 1
O2 0.146 0.521 0.808 1
O3 0.196 0.626 0.025 1
O4 0.200 0.561 0.541 1
O5 0.249 0.149 0.265 1


<B>
# ErGeBiO5 (PBE, optimized geometry)
# DOS at the Fermi energy (states/eV per cell): 0.00
# Magnetic moment (μB per formula unit): 0.00
data_ErGeBiO5
_chemical_formula_sum 'Er4 Ge4 Bi4 O20'
_symmetry_space_group_name_H-M 'C 1 2/c 1'
_symmetry_Int_Tables_number 15
_symmetry_space_group_name_Hall '-C 2yc'
_cell_length_a 6.896
_cell_length_b 9.603
_cell_length_c 7.645
_cell_angle_alpha 90.00
_cell_angle_beta 111.22
_cell_angle_gamma 90.00
loop_
_atom_site_label
_atom_site_fract_x
_atom_site_fract_y
_atom_site_fract_z
_atom_site_occupancy
Er1 0.000 0.000 0.000 1
Ge1 0.000 0.323 0.250 1
Bi1 0.000 0.324 0.750 1
O1 0.000 0.105 0.750 1
O2 0.127 0.210 0.136 1
O3 0.168 0.431 0.428 1


Short version: <B> is the least stable of them.


<A>
# Er4Bi2H (PBE, optimized geometry)
# DOS at the Fermi energy (states/eV per cell): 12.45
# Magnetic moment (μB per formula unit): 0.00
data_Er4Bi2H
_chemical_formula_sum 'Er8 Bi4 H2'
_symmetry_space_group_name_H-M 'P 1 21/m 1'
_symmetry_Int_Tables_number 11
_symmetry_space_group_name_Hall '-P 2yb'
_cell_length_a 6.266
_cell_length_b 6.425
_cell_length_c 9.120
_cell_angle_alpha 90.00
_cell_angle_beta 107.79
_cell_angle_gamma 90.00
loop_
_atom_site_label
_atom_site_fract_x
_atom_site_fract_y
_atom_site_fract_z
_atom_site_occupancy
Er1 0.044 0.001 0.309 1
Er2 0.347 0.750 0.050 1
Er3 0.429 0.750 0.666 1
Bi1 0.192 0.250 0.022 1
Bi2 0.370 0.250 0.609 1
H1 0.195 0.750 0.798 1


<B>
# Er4Bi2H (PBE, optimized geometry)
# DOS at the Fermi energy (states/eV per cell): 11.60
# Magnetic moment (μB per formula unit): 0.00
data_Er4Bi2H
_chemical_formula_sum 'Er8 Bi4 H2'
_symmetry_space_group_name_H-M 'I 4/m m m'
_symmetry_Int_Tables_number 139
_symmetry_space_group_name_Hall '-I 4 2'
_cell_length_a 4.493
_cell_length_b 4.493
_cell_length_c 17.041
_cell_angle_alpha 90.00
_cell_angle_beta 90.00
_cell_angle_gamma 90.00
loop_
_atom_site_label
_atom_site_fract_x
_atom_site_fract_y
_atom_site_fract_z
_atom_site_occupancy
Er1 0.000 0.000 0.176 1
Er2 0.000 0.500 0.000 1
Bi1 0.000 0.000 0.361 1
H1 0.000 0.000 0.000 1


Short version: <B> is the least stable of them.